# 1
CePaGePt PBE-GGA optimized geometry; energy of formation = -0.538 eV/atom; size of the total moment = 1.58 μB/cell; space group = No. 129; DFT total energy = -7.06 eV per atom
1.0
4.258 0.000 0.000
0.000 4.258 0.000
0.000 0.000 10.594
Ce Pa Ge Pt
2 2 2 2
Direct
0.250 0.250 0.196
0.750 0.750 0.804
0.250 0.750 0.500
0.750 0.250 0.500
0.250 0.250 0.928
0.750 0.750 0.072
0.250 0.250 0.696
0.750 0.750 0.304



# 2
Ru2Pt2W PBE-GGA optimized geometry; energy of formation = 0.318 eV/atom; size of the total moment = 0.00 μB/cell; space group = No. 12; DFT total energy = -8.40 eV per atom
1.0
3.907 -2.531 0.000
3.907 2.531 0.000
-2.396 0.000 4.141
Ru Pt W
2 2 1
Direct
0.000 0.500 0.000
0.500 0.000 0.000
0.130 0.130 0.395
0.870 0.870 0.605
0.500 0.500 0.500